The following is a SCAN calculation of a crystal of ReAsSeBr2 relaxed with PBEsol, from Alexandria via LeMat-Bulk.

Unit cell a=4.8656 b=4.8722 c=4.8722 alpha=90.00 beta=90.00 gamma=90.00
Atoms (fractional coordinates):
Re 0.0000 0.0000 0.0000
As 0.5000 0.0000 0.0000
Se 0.5000 0.5000 0.5000
Br 0.0000 0.0000 0.5000
Br 0.0000 0.5000 0.0000

## Properties
DFT total energy ... -29.2857 eV/atom
Symmetry ... No. 123
ΔE_f (raw) ... 372 kJ/mol of formula units

***

The following is a SCAN calculation of a crystal of Ag4Hg relaxed with PBEsol, from Alexandria via LeMat-Bulk.

Unit cell a=4.0976 b=5.0332 c=5.0332 alpha=80.46 beta=65.98 gamma=65.98
Atoms (fractional coordinates):
Hg 0.0000 0.0000 0.0000
Ag 0.8029 0.5978 0.7963
Ag 0.1971 0.4022 0.2037
Ag 0.5992 0.2037 0.5978
Ag 0.4008 0.7963 0.4022

## Properties
DFT total energy ... -38.7140 eV/atom
Symmetry ... No. 87

***

The following is a SCAN calculation of a crystal of Ba2CrFeH relaxed with PBEsol, from Alexandria via LeMat-Bulk.

Unit cell a=3.4161 b=5.9681 c=5.9681 alpha=90.00 beta=90.00 gamma=90.00
Atoms (fractional coordinates):
Cr 0.0000 0.0000 0.0000
Ba 0.0000 0.0000 0.5000
Ba 0.0000 0.5000 0.0000
H 0.5000 0.0000 0.0000
Fe 0.5000 0.5000 0.5000

## Properties
DFT total energy ... -23.0602 eV/atom
Symmetry ... No. 123

***

The following is a SCAN calculation of a crystal of ZrCrSi2 relaxed with PBEsol, from Alexandria via LeMat-Bulk.

Unit cell a=7.9477 b=9.0226 c=9.7037 alpha=90.00 beta=90.00 gamma=90.00
Atoms (fractional coordinates):
Zr 0.5000 0.8306 0.3199
Zr 0.5000 0.1694 0.6801
Zr 0.5000 0.3306 0.1801
Zr 0.5000 0.6694 0.8199
Zr 0.7467 0.1720 0.9522
Zr 0.7467 0.8280 0.0478
Zr 0.2533 0.6720 0.5478
Zr 0.2533 0.3280 0.4522
Zr 0.2533 0.8280 0.0478
Zr 0.2533 0.1720 0.9522
Zr 0.7467 0.3280 0.4522
Zr 0.7467 0.6720 0.5478
Cr 0.7489 0.9205 0.7455
Cr 0.2548 0.5000 0.0000
Cr 0.2548 0.0000 0.5000
Cr 0.7452 0.5000 0.0000
Cr 0.7489 0.4205 0.7545
Cr 0.7489 0.5795 0.2455
Cr 0.2511 0.9205 0.7455
Cr 0.2511 0.0795 0.2545
Cr 0.2511 0.5795 0.2455
Cr 0.2511 0.4205 0.7545
Cr 0.7489 0.0795 0.2545
Cr 0.7452 0.0000 0.5000
Si 0.0000 0.6103 0.0985
Si 0.0000 0.3897 0.9015
Si 0.0000 0.1103 0.4015
Si 0.0000 0.8897 0.5985
Si 0.5000 0.6246 0.1033
Si 0.5000 0.3754 0.8967
Si 0.5000 0.1246 0.3967
Si 0.5000 0.8754 0.6033
Si 0.0000 0.5408 0.3736
Si 0.0000 0.4592 0.6264
Si 0.0000 0.0408 0.1264
Si 0.0000 0.9592 0.8736
Si 0.5000 0.5394 0.3793
Si 0.5000 0.4606 0.6207
Si 0.5000 0.0394 0.1207
Si 0.5000 0.9606 0.8793
Si 0.8501 0.1712 0.6812
Si 0.8501 0.6712 0.8188
Si 0.1499 0.6712 0.8188
Si 0.1499 0.3288 0.1812
Si 0.1499 0.8288 0.3188
Si 0.1499 0.1712 0.6812
Si 0.8501 0.3288 0.1812
Si 0.8501 0.8288 0.3188

## Properties
Relative energy among the computed polymorphs ... 0.00 eV per formula unit
DFT total energy ... -17.8864 eV/atom
Symmetry ... No. 55
ΔE_f (raw) ... -235 kJ/mol of formula units

***

The following is a SCAN calculation of a crystal of CdNi6W relaxed with PBEsol, from Alexandria via LeMat-Bulk.

Unit cell a=6.2698 b=6.2698 c=10.2756 alpha=90.00 beta=90.00 gamma=109.53
Atoms (fractional coordinates):
Cd 0.2542 0.7458 0.0000
Cd 0.7458 0.2542 0.0000
Cd 0.5000 0.5000 0.7501
Cd 0.5000 0.5000 0.2499
Ni 0.2455 0.7545 0.7410
Ni 0.8819 0.6369 0.8694
Ni 0.1181 0.3631 0.8694
Ni 0.7545 0.2455 0.7410
Ni 0.3631 0.1181 0.8694
Ni 0.6369 0.8819 0.8694
Ni 0.5000 0.5000 0.5000
Ni 0.1170 0.3712 0.6198
Ni 0.3712 0.1170 0.6198
Ni 0.2455 0.7545 0.2590
Ni 0.8830 0.6288 0.3802
Ni 0.1170 0.3712 0.3802
Ni 0.7545 0.2455 0.2590
Ni 0.3712 0.1170 0.3802
Ni 0.6288 0.8830 0.3802
Ni 0.5000 0.5000 0.0000
Ni 0.1181 0.3631 0.1306
Ni 0.3631 0.1181 0.1306
Ni 0.0000 0.0000 0.5000
Ni 0.6288 0.8830 0.6198
Ni 0.8830 0.6288 0.6198
Ni 0.0000 0.0000 0.0000
Ni 0.6369 0.8819 0.1306
Ni 0.8819 0.6369 0.1306
W 0.2490 0.7510 0.5000
W 0.7510 0.2490 0.5000
W 0.0000 0.0000 0.7559
W 0.0000 0.0000 0.2441

## Properties
DFT total energy ... -24.6104 eV/atom
Symmetry ... No. 65

***

The following is a SCAN calculation of a crystal of PW3 relaxed with PBEsol, from Alexandria via LeMat-Bulk.

Unit cell a=4.8136 b=7.3255 c=7.3255 alpha=83.80 beta=70.82 gamma=70.82
Atoms (fractional coordinates):
P 0.0002 0.2919 0.7078
P 0.9999 0.7081 0.2922
P 0.2920 0.7078 0.7081
P 0.7079 0.2922 0.2919
W 0.3616 0.9999 0.8124
W 0.1740 0.0001 0.1876
W 0.8260 0.8124 0.0001
W 0.6385 0.1876 0.9999
W 0.5001 0.3542 0.6456
W 0.5000 0.6458 0.3544
W 0.8543 0.6456 0.6458
W 0.1456 0.3544 0.3542
W 0.9720 0.9998 0.5998
W 0.5717 0.0002 0.4002
W 0.4281 0.5998 0.0002
W 0.0282 0.4002 0.9998

## Properties
Relative energy among the computed polymorphs ... 0.00 eV per formula unit
DFT total energy ... -54.9193 eV/atom
Symmetry ... No. 121

***

The following is a SCAN calculation of a crystal of K2RhBr relaxed with PBEsol, from Alexandria via LeMat-Bulk.

Unit cell a=4.4459 b=4.4459 c=6.5090 alpha=90.00 beta=90.00 gamma=90.01
Atoms (fractional coordinates):
Br 0.5000 0.5000 0.1268
K 0.0000 0.0000 0.1234
K 0.5000 0.5000 0.6263
Rh 0.0000 0.0000 0.6235

## Properties
Relative energy among the computed polymorphs ... 0.39 eV per formula unit
DFT total energy ... -17.5812 eV/atom
Symmetry ... No. 99
ΔE_f (raw) ... -42 kJ/mol of formula units

***

The following is a SCAN calculation of a crystal of GdTmRh2 relaxed with PBEsol, from Alexandria via LeMat-Bulk.

Unit cell a=4.7553 b=4.7553 c=4.7553 alpha=60.00 beta=60.00 gamma=60.00
Atoms (fractional coordinates):
Gd 0.0000 0.0000 0.0000
Tm 0.5000 0.5000 0.5000
Rh 0.2500 0.2500 0.2500
Rh 0.7500 0.7500 0.7500

## Properties
DFT total energy ... -45.4977 eV/atom
Symmetry ... No. 225

***

The following is a SCAN calculation of a crystal of KRuPb2 relaxed with PBEsol, from Alexandria via LeMat-Bulk.

Unit cell a=3.4035 b=5.1435 c=7.4855 alpha=90.00 beta=103.09 gamma=90.00
Atoms (fractional coordinates):
K 0.3212 0.5000 0.7672
Pb 0.9650 0.0000 0.0551
Pb 0.6096 0.5000 0.3437
Ru 0.6042 0.0000 0.3340

## Properties
DFT total energy ... -48.2813 eV/atom
Symmetry ... No. 38

***

The following is a SCAN calculation of a crystal of SrTiI2Cl relaxed with PBEsol, from Alexandria via LeMat-Bulk.

Unit cell a=5.2296 b=5.2296 c=6.6274 alpha=90.00 beta=90.00 gamma=90.00
Atoms (fractional coordinates):
I 0.0000 0.5000 0.0000
I 0.5000 0.0000 0.0000
Sr 0.0000 0.0000 0.5000
Cl 0.5000 0.5000 0.5000
Ti 0.0000 0.0000 0.0000

## Properties
DFT total energy ... -24.7307 eV/atom
Symmetry ... No. 123
ΔE_f (raw) ... -375 kJ/mol of formula units

***

The following is a SCAN calculation of a crystal of CdInAs2 relaxed with PBEsol, from Alexandria via LeMat-Bulk.

Unit cell a=2.8957 b=5.4122 c=5.4122 alpha=90.00 beta=90.00 gamma=90.00
Atoms (fractional coordinates):
As 0.0000 0.0000 0.5000
As 0.0000 0.5000 0.0000
Cd 0.5000 0.5000 0.5000
In 0.5000 0.0000 0.0000

## Properties
DFT total energy ... -25.8147 eV/atom
Symmetry ... No. 123

***

The following is a SCAN calculation of a crystal of K2MgHgC relaxed with PBEsol, from Alexandria via LeMat-Bulk.

Unit cell a=4.1728 b=5.9463 c=5.9463 alpha=90.00 beta=90.00 gamma=90.00
Atoms (fractional coordinates):
Mg 0.5000 0.0000 0.0000
C 0.0000 0.0000 0.0000
K 0.0000 0.0000 0.5000
K 0.0000 0.5000 0.0000
Hg 0.5000 0.5000 0.5000

## Properties
DFT total energy ... -19.5105 eV/atom
Symmetry ... No. 123

***

The following is a SCAN calculation of a crystal of SrAu relaxed with PBEsol, from Alexandria via LeMat-Bulk.

Unit cell a=6.8764 b=9.3782 c=10.4753 alpha=90.00 beta=90.00 gamma=90.00
Atoms (fractional coordinates):
Au 0.7500 0.8505 0.1501
Au 0.2500 0.1495 0.8499
Au 0.7500 0.3505 0.8499
Au 0.2500 0.6495 0.1501
Au 0.7500 0.4532 0.4204
Au 0.2500 0.5468 0.5796
Au 0.7500 0.9532 0.5796
Au 0.2500 0.0468 0.4204
Au 0.0000 0.2500 0.0536
Au 0.5000 0.7500 0.9464
Au 0.0000 0.7500 0.9464
Au 0.5000 0.2500 0.0536
Sr 0.7500 0.5230 0.1134
Sr 0.2500 0.4770 0.8866
Sr 0.7500 0.0230 0.8866
Sr 0.2500 0.9770 0.1134
Sr 0.7500 0.1328 0.2922
Sr 0.2500 0.8672 0.7078
Sr 0.7500 0.6328 0.7078
Sr 0.2500 0.3672 0.2922
Sr 0.0000 0.2500 0.6114
Sr 0.5000 0.7500 0.3886
Sr 0.0000 0.7500 0.3886
Sr 0.5000 0.2500 0.6114

## Properties
DFT total energy ... -46.5535 eV/atom
Symmetry ... No. 57

***

The following is a SCAN calculation of a crystal of YTaIN2 relaxed with PBEsol, from Alexandria via LeMat-Bulk.

Unit cell a=4.1227 b=4.1227 c=5.3922 alpha=90.00 beta=90.00 gamma=90.00
Atoms (fractional coordinates):
I 0.0000 0.0000 0.5000
Y 0.5000 0.5000 0.5000
N 0.0000 0.5000 0.0000
N 0.5000 0.0000 0.0000
Ta 0.0000 0.0000 0.0000

## Properties
DFT total energy ... -30.0063 eV/atom
Symmetry ... No. 123
ΔE_f (raw) ... -27 kJ/mol of formula units

***

The following is a SCAN calculation of a crystal of BaB3Pd relaxed with PBEsol, from Alexandria via LeMat-Bulk.

Unit cell a=4.2498 b=4.2498 c=4.2498 alpha=90.00 beta=90.00 gamma=90.00
Atoms (fractional coordinates):
B 0.0000 0.5000 0.0000
B 0.0000 0.0000 0.5000
B 0.5000 0.0000 0.0000
Ba 0.5000 0.5000 0.5000
Pd 0.0000 0.0000 0.0000

## Properties
DFT total energy ... -17.9712 eV/atom
Symmetry ... No. 221

***

The following is a SCAN calculation of a crystal of KRuPt2 relaxed with PBEsol, from Alexandria via LeMat-Bulk.

Unit cell a=2.6894 b=5.1365 c=5.9391 alpha=115.62 beta=103.09 gamma=90.00
Atoms (fractional coordinates):
K 0.0000 0.5000 0.0000
Pt 0.7850 0.7850 0.5701
Pt 0.2150 0.2150 0.4299
Ru 0.5000 0.0000 0.0000

## Properties
Relative energy among the computed polymorphs ... 0.92 eV per formula unit
DFT total energy ... -45.3025 eV/atom
Symmetry ... No. 71

***

The following is a SCAN calculation of a crystal of TcAu2 relaxed with PBEsol, from Alexandria via LeMat-Bulk.

Unit cell a=2.7169 b=4.1101 c=4.9338 alpha=114.62 beta=105.98 gamma=90.00
Atoms (fractional coordinates):
Au 0.8370 0.8370 0.6740
Au 0.1630 0.1630 0.3260
Tc 0.5000 0.5000 0.0000

## Properties
Relative energy among the computed polymorphs ... 0.25 eV per formula unit
DFT total energy ... -57.4191 eV/atom
Symmetry ... No. 71

***

The following is a SCAN calculation of a crystal of Fe2PtRh relaxed with PBEsol, from Alexandria via LeMat-Bulk.

Unit cell a=2.6623 b=4.5089 c=4.5089 alpha=107.58 beta=90.00 gamma=90.00
Atoms (fractional coordinates):
Rh 0.5000 0.5000 0.5000
Fe 0.0000 0.5000 0.0000
Fe 0.0000 0.0000 0.5000
Pt 0.5000 0.0000 0.0000

## Properties
DFT total energy ... -35.3426 eV/atom
Symmetry ... No. 65

***

The following is a SCAN calculation of a crystal of Ti4NiBi2 relaxed with PBEsol, from Alexandria via LeMat-Bulk.

Unit cell a=4.7432 b=7.8048 c=7.8048 alpha=84.70 beta=72.31 gamma=72.31
Atoms (fractional coordinates):
Ti 0.6970 0.7218 0.8842
Ti 0.5812 0.1158 0.7218
Ti 0.9188 0.2782 0.8842
Ti 0.8030 0.1158 0.2782
Ti 0.4188 0.8842 0.2782
Ti 0.3030 0.2782 0.1158
Ti 0.1970 0.8842 0.7218
Ti 0.0812 0.7218 0.1158
Ni 0.7500 0.0000 0.0000
Ni 0.2500 0.0000 0.0000
Bi 0.6397 0.5000 0.2206
Bi 0.3603 0.5000 0.7794
Bi 0.1397 0.2206 0.5000
Bi 0.8603 0.7794 0.5000

## Properties
DFT total energy ... -34.2968 eV/atom
Symmetry ... No. 140

***

The following is a SCAN calculation of a crystal of GaGeTeI2 relaxed with PBEsol, from Alexandria via LeMat-Bulk.

Unit cell a=5.3922 b=5.3922 c=5.4520 alpha=90.00 beta=90.00 gamma=90.00
Atoms (fractional coordinates):
I 0.0000 0.5000 0.0000
I 0.5000 0.0000 0.0000
Ge 0.5000 0.5000 0.5000
Te 0.0000 0.0000 0.5000
Ga 0.0000 0.0000 0.0000

## Properties
Relative energy among the computed polymorphs ... 1.42 eV per formula unit
DFT total energy ... -28.8145 eV/atom
Symmetry ... No. 123
ΔE_f (raw) ... 202 kJ/mol of formula units

***

| no. | spin magnetization (μB per atom) |
| --- | --- |
| 1 | 0.000 |
| 2 | 0.000 |
| 3 | 1.146 |
| 4 | 0.000 |
| 5 | 0.000 |
| 6 | 0.000 |
| 7 | 0.500 |
| 8 | 1.758 |
| 9 | 0.000 |
| 10 | 0.524 |
| 11 | 0.000 |
| 12 | 0.039 |
| 13 | 0.000 |
| 14 | 0.000 |
| 15 | 0.206 |
| 16 | 0.517 |
| 17 | 0.699 |
| 18 | 1.794 |
| 19 | 0.000 |
| 20 | 0.000 |